# 1
Entry from Alexandria via LeMat-Bulk: a relaxed Er2InSe5 crystal (PBE).

POSCAR file:
```
Er2InSe5
1.0
5.6599 0.0000 0.0000
-2.8299 6.9853 0.0000
0.0000 0.0000 12.6528
Er In Se
4 2 10
Direct
0.8356 0.6712 0.4330
0.8356 0.6712 0.0670
0.1644 0.3288 0.5670
0.1644 0.3288 0.9330
0.8137 0.6274 0.7500
0.1863 0.3726 0.2500
0.9667 0.9335 0.8953
0.9667 0.9335 0.6047
0.3139 0.6277 0.4169
0.3139 0.6277 0.0831
0.7203 0.4407 0.2500
0.2797 0.5593 0.7500
0.6861 0.3723 0.5831
0.6861 0.3723 0.9169
0.0333 0.0665 0.1047
0.0333 0.0665 0.3953
```

Output
Total magnetization = 0.00 μB/f.u.
Calculated total energy = -77.42 eV per cell

# 2
Entry from Alexandria via LeMat-Bulk: a relaxed ScTiHg2S crystal (PBE).

POSCAR file:
```
ScTiHg2S
1.0
5.1938 0.0000 0.0000
0.0000 5.2447 0.0000
0.0000 0.0000 5.1938
Sc S Hg Ti
1 1 2 1
Direct
0.0000 0.5000 0.0000
0.5000 0.5000 0.5000
0.0000 0.0000 0.5000
0.5000 0.0000 0.0000
0.0000 0.0000 0.0000
```

Output
Total magnetization = 2.74 μB/f.u.
Calculated total energy = -15.53 eV per cell

# 3
Entry from Alexandria via LeMat-Bulk: a relaxed HoSc2PaC4 crystal (PBE).

POSCAR file:
```
HoSc2PaC4
1.0
3.4864 0.0000 0.0000
0.0000 5.9516 -0.0717
0.0000 2.1375 5.6335
Ho Sc Pa C
1 2 1 4
Direct
0.0000 0.5000 0.5000
0.0000 0.0000 0.0000
0.5000 0.0000 0.5000
0.5000 0.5000 0.0000
0.0000 0.7514 0.7593
0.0000 0.2486 0.2407
0.5000 0.7573 0.2382
0.5000 0.2427 0.7618
```

Output
Total magnetization = 0.00 μB/f.u.
Formation enthalpy at 0 K = -260 meV/atom

# 4
Entry from Alexandria via LeMat-Bulk: a relaxed YPuTlRh crystal (PBE).

POSCAR file:
```
YPuTlRh
1.0
5.1406 0.0000 0.0000
2.5703 4.4519 0.0000
2.5703 1.4840 4.1973
Y Tl Rh Pu
1 1 1 1
Direct
0.2500 0.2500 0.2500
0.0000 0.0000 0.0000
0.5000 0.5000 0.5000
0.7500 0.7500 0.7500
```

Output
Energy above the lowest structure with this stoichiometry = 168 meV per atom
Total magnetization = 5.40 μB/f.u.
Formation enthalpy at 0 K = -238 meV/atom

# 5
Entry from Alexandria via LeMat-Bulk: a relaxed BaTi2V crystal (PBE).

POSCAR file:
```
BaTi2V
1.0
5.7341 0.0000 0.0000
0.0000 6.0561 0.0000
0.0000 0.0000 13.2390
Ti Ba V
8 4 4
Direct
0.0000 0.9950 0.1207
0.0000 0.0050 0.8793
0.5000 0.9950 0.8793
0.5000 0.0050 0.1207
0.5000 0.4950 0.1207
0.5000 0.5050 0.8793
0.0000 0.4950 0.8793
0.0000 0.5050 0.1207
0.0000 0.2500 0.3659
0.0000 0.7500 0.6341
0.5000 0.2500 0.6341
0.5000 0.7500 0.3659
0.2500 0.2500 0.0000
0.2500 0.7500 0.0000
0.7500 0.7500 0.0000
0.7500 0.2500 0.0000
```

Output
Energy above the lowest structure with this stoichiometry = 2 meV per atom
Total magnetization = 0.00 μB/f.u.
Formation enthalpy at 0 K = 276 meV/atom

# 6
Entry from Alexandria via LeMat-Bulk: a relaxed Er6Bi5Sb crystal (PBE).

POSCAR file:
```
Er6Bi5Sb
1.0
-3.4032 -6.6218 -1.8591
7.5773 0.2144 1.1933
-2.4534 0.7130 7.2288
Sb Bi Er
1 5 6
Direct
0.0000 0.0000 0.0000
0.8317 0.1683 0.5000
0.6663 0.3337 0.0000
0.5000 0.5000 0.5000
0.3337 0.6663 0.0000
0.1683 0.8317 0.5000
0.4114 0.0823 0.2472
0.9177 0.5886 0.7528
0.2459 0.2459 0.7510
0.7541 0.7541 0.2490
0.0823 0.4114 0.2472
0.5886 0.9177 0.7528
```

Output
Total magnetization = 0.00 μB/f.u.
Calculated total energy = -61.21 eV per cell

# 7
Entry from Alexandria via LeMat-Bulk: a relaxed Ac4SbPtSe2 crystal (PBE).

POSCAR file:
```
Ac4SbPtSe2
1.0
4.5000 0.0000 0.0000
0.0000 7.9961 0.1773
0.0000 -2.7565 7.4616
Ac Sb Pt Se
4 1 1 2
Direct
0.5000 0.2604 0.2540
0.5000 0.7396 0.7460
0.0000 0.2713 0.7650
0.0000 0.7287 0.2350
0.0000 0.0000 0.0000
0.5000 0.5000 0.0000
0.5000 0.0000 0.5000
0.0000 0.5000 0.5000
```

Output
Total magnetization = 0.00 μB/f.u.
Calculated total energy = -45.40 eV per cell

# 8
Entry from Alexandria via LeMat-Bulk: a relaxed Nd10Bi3Te3 crystal (PBE).

POSCAR file:
```
Nd10Bi3Te3
1.0
6.4847 0.0000 0.0000
0.0000 8.1749 -4.7198
0.0000 0.0000 9.4396
Nd Bi Te
10 3 3
Direct
0.2506 0.6667 0.3333
0.2506 0.3333 0.6667
0.7494 0.3333 0.6667
0.7494 0.6667 0.3333
0.5000 0.0000 0.7476
0.5000 0.7476 0.0000
0.5000 0.2524 0.2524
0.0000 0.0000 0.2528
0.0000 0.2528 0.0000
0.0000 0.7472 0.7472
0.0000 0.0000 0.6128
0.0000 0.6129 0.0000
0.0000 0.3872 0.3872
0.5000 0.0000 0.3842
0.5000 0.3842 0.0000
0.5000 0.6158 0.6158
```

Output
Total magnetization = 0.00 μB/f.u.
Calculated total energy = -83.60 eV per cell

# 9
Entry from Alexandria via LeMat-Bulk: a relaxed SrRe2Cl crystal (PBE).

POSCAR file:
```
SrRe2Cl
1.0
-0.9362 1.7126 -3.2603
-3.6821 -0.3736 0.8610
0.1089 5.4409 2.8268
Cl Re Sr
1 2 1
Direct
0.5000 0.5000 0.7500
0.0000 0.0000 0.9320
0.0000 0.0000 0.5680
0.5000 0.5000 0.2500
```

Output
Energy above the lowest structure with this stoichiometry = 1579 meV per atom
Total magnetization = 0.00 μB/f.u.

# 10
Entry from Alexandria via LeMat-Bulk: a relaxed Dy2GeAu crystal (PBE).

POSCAR file:
```
Dy2GeAu
1.0
3.5834 0.0000 0.0000
0.0000 3.5834 0.0000
0.0000 0.0000 7.1885
Ge Au Dy
1 1 2
Direct
0.5000 0.5000 0.0000
0.5000 0.5000 0.5000
0.0000 0.0000 0.7534
0.0000 0.0000 0.2466
```

Output
Total magnetization = 0.00 μB/f.u.
Formation enthalpy at 0 K = -765 meV/atom

# 11
Entry from Alexandria via LeMat-Bulk: a relaxed K2Tc2Cl crystal (PBE).

POSCAR file:
```
K2Tc2Cl
1.0
-0.7927 5.6070 8.6063
3.9066 -7.8186 5.4536
2.6019 1.0088 -0.4176
K Tc Cl
4 4 2
Direct
0.2906 0.7906 0.0000
0.7906 0.7094 0.0000
0.7094 0.2094 0.0000
0.2094 0.2906 0.0000
0.0724 0.5724 0.5000
0.5724 0.9276 0.5000
0.9276 0.4276 0.5000
0.4276 0.0724 0.5000
0.0000 0.0000 0.0000
0.5000 0.5000 0.0000
```

Output
Energy above the lowest structure with this stoichiometry = 894 meV per atom
Total magnetization = 0.15 μB/f.u.

# 12
Entry from Alexandria via LeMat-Bulk: a relaxed La4Co2Cu crystal (PBE).

POSCAR file:
```
La4Co2Cu
1.0
-4.0212 -0.7637 -0.2361
3.1298 -4.0061 -4.7513
1.3496 -9.9837 9.3069
Co Cu La
4 2 8
Direct
0.1299 0.2597 0.4338
0.8701 0.7403 0.9338
0.1299 0.2597 0.0662
0.8701 0.7403 0.5662
0.6171 0.2342 0.7500
0.3829 0.7658 0.2500
0.7707 0.5414 0.1109
0.7707 0.5414 0.3891
0.2293 0.4586 0.8891
0.2293 0.4586 0.6109
0.9439 0.8877 0.7500
0.0561 0.1123 0.2500
0.5000 0.0000 0.0000
0.5000 0.0000 0.5000
```

Output
Total magnetization = 0.00 μB/f.u.
Formation enthalpy at 0 K = -95 meV/atom

# 13
Entry from Alexandria via LeMat-Bulk: a relaxed TmMg2Pd3 crystal (PBE).

POSCAR file:
```
TmMg2Pd3
1.0
4.6905 -0.0135 0.0188
2.3249 7.0169 0.0093
-0.0261 0.0000 6.4866
Tm Mg Pd
2 4 6
Direct
0.3389 0.3221 0.0000
0.6611 0.6779 0.0000
0.0000 0.0000 0.0000
0.0000 0.0000 0.5000
0.3292 0.3417 0.5000
0.6708 0.6583 0.5000
0.8357 0.3294 0.7406
0.5000 0.0000 0.2692
0.1643 0.6706 0.2594
0.8357 0.3294 0.2594
0.1643 0.6706 0.7406
0.5000 0.0000 0.7308
```

Output
Energy above the lowest structure with this stoichiometry = 0 meV per atom
Total magnetization = 0.00 μB/f.u.
Formation enthalpy at 0 K = -803 meV/atom

# 14
Entry from Alexandria via LeMat-Bulk: a relaxed Tb6Pm3Tm2In crystal (PBE).

POSCAR file:
```
Tb6Pm3Tm2In
1.0
-3.4541 1.8164 4.7588
1.5801 -5.9200 -0.5767
10.0991 3.3058 4.7353
Tb Pm Tm In
6 3 2 1
Direct
0.9197 0.5917 0.7576
0.7525 0.7525 0.2438
0.0803 0.4083 0.2424
0.5917 0.9197 0.7576
0.2475 0.2475 0.7562
0.4083 0.0803 0.2424
0.1674 0.8326 0.5000
0.8326 0.1674 0.5000
0.5000 0.5000 0.5000
0.3339 0.6661 0.0000
0.6661 0.3339 0.0000
0.0000 0.0000 0.0000
```

Output
Total magnetization = 0.00 μB/f.u.
Formation enthalpy at 0 K = -34 meV/atom

# 15
Entry from Alexandria via LeMat-Bulk: a relaxed Y2MnGa crystal (PBE).

POSCAR file:
```
Y2MnGa
1.0
-6.4967 -3.1155 -3.0981
-2.8743 -1.1691 7.2030
-6.0448 0.7628 1.9815
Y Mn Ga
4 2 2
Direct
0.6209 0.1250 0.2500
0.1291 0.6250 0.2500
0.3750 0.3791 0.7500
0.8750 0.8709 0.7500
0.5000 0.5000 0.0000
0.2500 0.7500 0.5000
0.0000 0.0000 0.0000
0.7500 0.2500 0.5000
```

Output
Total magnetization = 2.90 μB/f.u.
Formation enthalpy at 0 K = 246 meV/atom

# 16
Entry from Alexandria via LeMat-Bulk: a relaxed Fe2PRu crystal (PBE).

POSCAR file:
```
Fe2PRu
1.0
-0.0421 4.0739 -1.7041
0.6785 -0.1095 -4.3623
-2.7868 -2.1663 2.6539
Fe P Ru
2 1 1
Direct
0.0000 0.0000 0.0000
0.5000 0.5000 0.0000
0.2500 0.7500 0.5000
0.7500 0.2500 0.5000
```

Output
Total magnetization = 0.84 μB/f.u.
Formation enthalpy at 0 K = -1 meV/atom

# 17
Entry from Alexandria via LeMat-Bulk: a relaxed Pr2PuH12Rh3 crystal (PBE).

POSCAR file:
```
Pr2PuH12Rh3
1.0
6.2265 -0.1537 -0.1090
2.9413 5.4902 -0.1090
2.9413 1.7121 5.2175
Pr Pu H Rh
2 1 12 3
Direct
0.6138 0.6138 0.6138
0.3862 0.3862 0.3862
0.0000 0.0000 0.0000
0.2827 0.2827 0.8712
0.8648 0.8648 0.4274
0.4274 0.8648 0.8648
0.8712 0.2827 0.2827
0.8648 0.4274 0.8648
0.2827 0.8712 0.2827
0.7173 0.7173 0.1288
0.1352 0.1352 0.5726
0.5726 0.1352 0.1352
0.1288 0.7173 0.7173
0.1352 0.5726 0.1352
0.7173 0.1288 0.7173
0.5000 0.0000 0.0000
0.0000 0.5000 0.0000
0.0000 0.0000 0.5000
```

Output
Total magnetization = 6.97 μB/f.u.
Calculated total energy = -91.75 eV per cell

# 18
Entry from Alexandria via LeMat-Bulk: a relaxed ReAs2Br crystal (PBE).

POSCAR file:
```
ReAs2Br
1.0
-3.8413 1.9615 2.5006
-3.1400 -1.7373 -3.4609
-0.2890 -2.5001 1.5172
Re As Br
1 2 1
Direct
0.0000 0.5000 0.5000
0.0000 0.0000 0.0000
0.5000 0.5000 0.0000
0.5000 0.0000 0.5000
```

Output
Energy above the lowest structure with this stoichiometry = 911 meV per atom
Total magnetization = 1.14 μB/f.u.

# 19
Entry from Alexandria via LeMat-Bulk: a relaxed NbVGa crystal (PBE).

POSCAR file:
```
NbVGa
1.0
7.7438 0.0000 0.0000
-3.8719 6.7063 0.0000
0.0000 0.0000 5.4961
Ga V Nb
6 6 6
Direct
0.0000 0.6433 0.7500
0.6433 0.0000 0.7500
0.3567 0.3567 0.7500
0.6433 0.0000 0.2500
0.0000 0.6433 0.2500
0.3567 0.3567 0.2500
0.0000 0.0000 0.7500
0.0000 0.0000 0.2500
0.3333 0.6667 0.0000
0.3333 0.6667 0.5000
0.6667 0.3333 0.0000
0.6667 0.3333 0.5000
0.0000 0.3111 0.0000
0.3111 0.0000 0.0000
0.6889 0.6889 0.0000
0.0000 0.3111 0.5000
0.3111 0.0000 0.5000
0.6889 0.6889 0.5000
```

Output
Energy above the lowest structure with this stoichiometry = 233 meV per atom
Total magnetization = 0.67 μB/f.u.
Formation enthalpy at 0 K = -11 meV/atom

# 20
Entry from Alexandria via LeMat-Bulk: a relaxed TaAlRe2 crystal (PBE).

POSCAR file:
```
TaAlRe2
1.0
5.2417 -0.0016 0.0113
4.2923 3.0086 0.0113
1.8117 0.5714 3.9320
Re Al Ta
2 1 1
Direct
0.0045 0.0045 0.9955
0.7450 0.7450 0.7550
0.2576 0.2576 0.2423
0.4929 0.4929 0.5071
```

Output
Total magnetization = 0.00 μB/f.u.
Formation enthalpy at 0 K = -241 meV/atom

# 21
Entry from Alexandria via LeMat-Bulk: a relaxed PuZrOsPt crystal (PBE).

POSCAR file:
```
PuZrOsPt
1.0
-3.4393 0.2259 3.3215
1.1530 -0.0386 4.6456
-0.5302 3.9638 2.6305
Os Zr Pt Pu
1 1 1 1
Direct
0.7500 0.7500 0.7500
0.0000 0.0000 0.0000
0.2500 0.2500 0.2500
0.5000 0.5000 0.5000
```

Output
Total magnetization = 5.21 μB/f.u.
Formation enthalpy at 0 K = -414 meV/atom

# 22
Entry from Alexandria via LeMat-Bulk: a relaxed HoTl2Re3O12 crystal (PBE).

POSCAR file:
```
HoTl2Re3O12
1.0
7.5830 0.1320 0.0936
3.8597 6.5286 0.0936
3.8597 2.2466 6.1306
Ho Tl Re O
1 2 3 12
Direct
0.0000 0.0000 0.0000
0.6563 0.6563 0.6563
0.3437 0.3437 0.3437
0.5000 0.0000 0.0000
0.0000 0.5000 0.0000
0.0000 0.0000 0.5000
0.3013 0.3013 0.9326
0.9254 0.9254 0.3553
0.3553 0.9254 0.9254
0.9326 0.3013 0.3013
0.9254 0.3553 0.9254
0.3013 0.9326 0.3013
0.6987 0.6987 0.0674
0.0746 0.0746 0.6447
0.6447 0.0746 0.0746
0.0674 0.6987 0.6987
0.0746 0.6447 0.0746
0.6987 0.0674 0.6987
```

Output
Total magnetization = 0.82 μB/f.u.
Calculated total energy = -136.83 eV per cell

Density, respectively: 5.6; 6.2; 7.6; 11.1; 4.1; 9.8; 8.5; 8.1; 9.3; 10.7; 3.4; 6.5; 8.3; 8.1; 5.1; 8.9; 7.7; 9.5; 7.5; 15.6; 15.4; 7.4 Mg/m³.